# ZnCoGeO4, optimized geometry, DFT PBE with a Hubbard U
# Volume (Å³/atom): 10.4
# VASP energy (eV/atom): -5.862
# Total magnetic moment (μB per formula unit): 3.0
data_ZnCoGeO4
_chemical_formula_sum 'Zn4 Co4 Ge4 O16'
_space_group_name_H-M_alt 'P 41 2 2'
_space_group_IT_number 91
_cell_length_a 5.924
_cell_length_b 5.924
_cell_length_c 8.268
_cell_angle_alpha 90.00
_cell_angle_beta 90.00
_cell_angle_gamma 90.00
loop_
_space_group_symop_operation_xyz
'x,y,z'
'-y,x,z+1/4'
'-x,-y,z+1/2'
'y,-x,z+3/4'
'x,-y,-z+1/2'
'-y,-x,-z+1/4'
'-x,y,-z'
'y,x,-z+3/4'
loop_
_atom_site_label
_atom_site_fract_x
_atom_site_fract_y
_atom_site_fract_z
Zn1 0.248 0.248 0.375
Co1 0.254 0.500 0.750
Ge1 0.000 0.255 0.000
O1 0.020 0.231 0.768
O2 0.231 0.471 0.001